This record from Alexandria via LeMat-Bulk describes an optimized crystal structure of Tl12GaPb6. The functional is PBE.

a = 8.457 Å, b = 8.457 Å, c = 8.457 Å
α = 89.35°, β = 89.35°, γ = 89.35°
Fractional coordinates of all 19 atoms:
Tl (0.020, 0.930, 0.305)
Tl (0.070, 0.695, 0.980)
Tl (0.132, 0.456, 0.351)
Tl (0.305, 0.020, 0.930)
Tl (0.351, 0.132, 0.456)
Tl (0.456, 0.351, 0.132)
Tl (0.544, 0.649, 0.868)
Tl (0.649, 0.868, 0.544)
Tl (0.695, 0.980, 0.070)
Tl (0.868, 0.544, 0.649)
Tl (0.930, 0.305, 0.020)
Tl (0.980, 0.070, 0.695)
Ga (0.500, 0.500, 0.500)
Pb (0.237, 0.393, 0.755)
Pb (0.245, 0.763, 0.607)
Pb (0.393, 0.755, 0.237)
Pb (0.607, 0.245, 0.763)
Pb (0.755, 0.237, 0.393)
Pb (0.763, 0.607, 0.245)

## Properties
The value obtained for the energy of formation is 27.1 meV/atom. The value obtained for the size of the total moment is 0.00 Bohr magnetons per cell. The calculated volume is 31.83 Å³/atom. The value obtained for the total DFT energy (no corrections) is -2.80 eV/atom.